No. 1
Fe2Ir15Rh2 | PBE | relaxed

Cell: 6.798 6.798 6.798 Å, 81.19 81.19 81.19°
Sites, in units of the cell vectors:
Ir1 0.500 0.000 0.000
Ir2 0.645 0.645 0.151
Ir3 0.849 0.355 0.355
Ir4 0.304 0.000 0.696
Rh1 0.721 0.721 0.721
Ir5 0.645 0.151 0.645
Fe1 0.092 0.092 0.092
Ir6 0.304 0.696 0.000
Ir7 0.000 0.500 0.000
Ir8 0.151 0.645 0.645
Ir9 0.355 0.849 0.355
Ir10 0.355 0.355 0.849
Ir11 0.696 0.304 0.000
Rh2 0.279 0.279 0.279
Ir12 0.000 0.000 0.500
Fe2 0.908 0.908 0.908
Ir13 0.000 0.304 0.696
Ir14 0.696 0.000 0.304
Ir15 0.000 0.696 0.304

Results
The space-group type is R-3m (166). As for the energy of formation from the pure elements: 0.43 eV per atom.


No. 2
ScInTcCl2 | PBE | relaxed

Cell: 4.849 5.624 4.849 Å, 90.00 90.00 90.00°
Sites, in units of the cell vectors:
Cl1 0.000 0.000 0.500
Tc1 0.000 0.500 0.000
Cl2 0.500 0.000 0.000
Sc1 0.000 0.000 0.000
In1 0.500 0.500 0.500

Results
Its energy relative to the elements, uncorrected is -0.09 eV/atom. The space-group type is P4/mmm (123).


No. 3
Tm4MgNi2 | PBE | relaxed

Cell: 7.024 7.028 8.876 Å, 127.96 103.75 85.53°
Sites, in units of the cell vectors:
Ni1 0.576 0.109 0.056
Tm1 0.398 0.137 0.748
Ni2 0.052 0.519 0.943
Tm2 0.331 0.695 0.878
Tm3 0.481 0.247 0.391
Tm4 0.854 0.087 0.608
Tm5 0.986 0.019 0.237
Mg1 0.126 0.626 0.499
Ni3 0.654 0.459 0.815
Tm6 0.783 0.749 0.765
Ni4 0.645 0.840 0.184
Tm7 0.389 0.651 0.252
Mg2 0.159 0.160 0.001
Tm8 0.816 0.454 0.122

Results
The space-group type is P1 (1). As for the energy of formation from the pure elements: -0.18 eV per atom.


No. 4
HgRh3 | PBE | relaxed

Cell: 3.247 3.247 6.076 Å, 90.00 90.00 90.00°
Sites, in units of the cell vectors:
Rh1 0.500 0.500 0.724
Hg1 0.000 0.000 0.000
Rh2 0.000 0.000 0.500
Rh3 0.500 0.500 0.276

Results
The space-group type is P4/mmm (123). As for the energy of formation from the pure elements: 0.26 eV per atom.


No. 5
BaMg2H8Ru | PBE | relaxed

Cell: 4.949 4.949 10.760 Å, 90.00 90.00 90.00°
Sites, in units of the cell vectors:
H1 0.000 0.000 0.593
H2 0.244 0.756 0.750
H3 0.756 0.244 0.750
H4 0.244 0.244 0.250
H5 0.244 0.756 0.250
H6 0.500 0.252 0.500
H7 0.000 0.000 0.907
H8 0.000 0.000 0.407
H9 0.252 0.500 0.000
Mg1 0.000 0.500 0.140
Mg2 0.500 0.000 0.640
Ru1 0.000 0.000 0.250
H10 0.500 0.748 0.500
H11 0.756 0.756 0.250
H12 0.756 0.244 0.250
H13 0.244 0.244 0.750
H14 0.000 0.000 0.093
H15 0.748 0.500 0.000
Ba1 0.000 0.500 0.500
Mg3 0.000 0.500 0.860
Ba2 0.500 0.000 0.000
H16 0.756 0.756 0.750
Ru2 0.000 0.000 0.750
Mg4 0.500 0.000 0.360

Results
The space-group type is P4_2/mmc (131). For the total DFT energy (no corrections), the calculation gives -3.87 eV per atom.


No. 6
ZrCd2Hg | PBE | relaxed

Cell: 5.694 5.694 3.030 Å, 90.00 90.00 113.75°
Sites, in units of the cell vectors:
Hg1 0.500 0.000 0.500
Zr1 0.000 0.500 0.500
Cd1 0.500 0.500 0.000
Cd2 0.000 0.000 0.000

Results
The space-group type is Cmmm (65). As for the energy of formation from the pure elements: -0.01 eV per atom.


No. 7
CuSiSe2 | PBE | relaxed

Cell: 2.893 2.893 9.360 Å, 90.00 90.00 102.16°
Sites, in units of the cell vectors:
Si1 0.000 0.000 0.540
Cu1 0.500 0.500 0.718
Se1 0.000 0.000 0.920
Se2 0.500 0.500 0.321

Results
Its energy relative to the elements, uncorrected is 0.29 eV/atom. The space-group type is Cmm2 (35).


No. 8
TbU3Tl2O12 | PBE | relaxed

Cell: 7.968 7.968 7.968 Å, 61.45 61.45 61.45°
Sites, in units of the cell vectors:
O1 0.693 0.693 0.050
O2 0.934 0.334 0.934
O3 0.050 0.693 0.693
U1 0.500 0.000 0.000
Tl1 0.680 0.680 0.680
O4 0.934 0.934 0.334
O5 0.950 0.307 0.307
O6 0.666 0.066 0.066
O7 0.307 0.950 0.307
O8 0.334 0.934 0.934
Tb1 0.000 0.000 0.000
Tl2 0.320 0.320 0.320
O9 0.307 0.307 0.950
U2 0.000 0.500 0.000
U3 0.000 0.000 0.500
O10 0.693 0.050 0.693
O11 0.066 0.666 0.066
O12 0.066 0.066 0.666

Results
Its energy relative to the elements, uncorrected is -2.66 eV/atom. The space-group type is R-3m (166).


No. 9
Ba4AsCl | PBE | relaxed

Cell: 7.086 7.086 7.086 Å, 60.00 60.00 60.00°
Sites, in units of the cell vectors:
Cl1 0.750 0.750 0.750
Ba1 0.878 0.374 0.374
Ba2 0.374 0.878 0.374
Ba3 0.374 0.374 0.374
Ba4 0.374 0.374 0.878
As1 0.000 0.000 0.000

Results
Its energy relative to the elements, uncorrected is -0.07 eV/atom. The space-group type is F-43m (216).


No. 10
BeS2Br | PBE | relaxed

Cell: 4.575 4.575 4.575 Å, 60.00 60.00 60.00°
Sites, in units of the cell vectors:
S1 0.750 0.750 0.750
S2 0.250 0.250 0.250
Br1 0.500 0.500 0.500
Be1 0.000 0.000 0.000

Results
Its energy relative to the elements, uncorrected is 1.05 eV/atom. The space-group type is Fm-3m (225). As for the energy above the lowest structure with this stoichiometry: 1119 meV per atom.


No. 11
Cs6Br3ClF2 | PBE | relaxed

Cell: 8.362 8.362 8.602 Å, 99.44 99.44 119.79°
Sites, in units of the cell vectors:
Cs1 0.428 0.071 0.217
Br1 0.842 0.158 0.500
F1 0.669 0.331 0.000
Br2 0.158 0.842 0.500
Br3 0.500 0.500 0.500
Cs2 0.714 0.714 0.211
Cs3 0.071 0.428 0.217
Cs4 0.572 0.929 0.783
Cl1 0.000 0.000 0.000
Cs5 0.929 0.572 0.783
Cs6 0.286 0.286 0.789
F2 0.331 0.669 0.000

Results
Its energy relative to the elements, uncorrected is -2.07 eV/atom. The space-group type is C2/m (12).


No. 12
HgPd | PBE | relaxed

Cell: 4.717 4.717 5.444 Å, 90.00 90.00 120.00°
Sites, in units of the cell vectors:
Pd1 0.667 0.333 0.750
Hg1 0.333 0.667 0.750
Pd2 0.333 0.667 0.250
Hg2 0.667 0.333 0.250

Results
The space-group type is P6_3/mmc (194). As for the energy of formation from the pure elements: 0.25 eV per atom.


Spin magnetization in μB per atom, matching the order above: 0.45 0.57 0.00 0.00 0.00 0.00 0.00 0.00 0.20 0.00 0.02 0.00